Below is a relaxed structure of NaCoH6, with properties calculated at the GGA-PBE level.

Output
Theoretical density ... 2.77 Mg/m³
Space group ... P-1, No. 2
V ... 52.80 Å³/f.u.
Total magnetic moment ... 0.0000 μB per atom
Final energy ... -27.97 eV per formula unit

a = 2.7295 Å, b = 4.3208 Å, c = 4.7567 Å
α = 73.25°, β = 81.35°, γ = 81.69°
Sites, in units of the cell vectors:
Co (0.0000, 0.0000, 0.0000)
H (0.0735, 0.0571, 0.6642)
H (0.9265, 0.9429, 0.3358)
H (0.1103, 0.6395, 0.0436)
H (0.4606, 0.2017, 0.0381)
Na (0.5000, 0.5000, 0.5000)
H (0.8897, 0.3605, 0.9564)
H (0.5394, 0.7983, 0.9619)

=====

Below is a relaxed structure of NaCoH3, with properties calculated at the GGA-PBE level.

Output
Theoretical density ... 3.02 Mg/m³
Space group ... P6_3/mmc, No. 194
V ... 46.78 Å³/f.u.
Total magnetic moment ... 0.1900 μB per atom
Final energy ... -19.16 eV per formula unit

a = 4.8800 Å, b = 4.8800 Å, c = 4.5363 Å
α = 90.00°, β = 90.00°, γ = 120.00°
Sites, in units of the cell vectors:
Na (0.6667, 0.3333, 0.2500)
H (0.8555, 0.7111, 0.7500)
H (0.1445, 0.8555, 0.2500)
H (0.8555, 0.1445, 0.7500)
H (0.1445, 0.2889, 0.2500)
H (0.7111, 0.8555, 0.2500)
Na (0.3333, 0.6667, 0.7500)
Co (0.0000, 0.0000, 0.5000)
H (0.2889, 0.1445, 0.7500)
Co (0.0000, 0.0000, 0.0000)

=====

Below is a relaxed structure of Na2CoNiH6, with properties calculated at the GGA-PBE level.

Output
Theoretical density ... 3.75 Mg/m³
Space group ... Fm-3m, No. 225
V ... 75.19 Å³/f.u.
Total magnetic moment ... 0.0000 μB per atom
Final energy ... -36.71 eV per formula unit

a = 4.7376 Å, b = 4.7376 Å, c = 4.7376 Å
α = 60.00°, β = 60.00°, γ = 60.00°
Sites, in units of the cell vectors:
H (0.7542, 0.2458, 0.2458)
H (0.2458, 0.7542, 0.7542)
Na (0.7500, 0.7500, 0.7500)
H (0.7542, 0.7542, 0.2458)
H (0.7542, 0.2458, 0.7542)
Na (0.2500, 0.2500, 0.2500)
H (0.2458, 0.7542, 0.2458)
Ni (0.5000, 0.5000, 0.5000)
H (0.2458, 0.2458, 0.7542)
Co (0.0000, 0.0000, 0.0000)

=====

- V of number 2 (NaCoH3)?
  46.78 Å³/f.u.